(1)
Computed, not measured: crystalline Pm2TlPb at its relaxed geometry at the PBE level of DFT.

Computed properties:
Magnetization (μB/atom): 0.0000
Formation energy from the elements (eV/atom): -0.42
Space-group type: No. 225
E (eV/atom): -4.317
Excess energy over the best structure of this formula in the dataset (kJ/mol of atoms): 4.5
N(E_F) (states/eV/atom): 0.557

a = 5.515 Å, b = 5.515 Å, c = 5.515 Å
α = 60.00°, β = 60.00°, γ = 60.00°
Fractional positions:
Pm: 0.250 0.250 0.250
Pm: 0.750 0.750 0.750
Tl: 0.000 0.000 0.000
Pb: 0.500 0.500 0.500

***

(2)
Computed, not measured: crystalline ScINF2 at its relaxed geometry at the PBE level of DFT.

Computed properties:
Magnetization (μB/atom): 0.0000
Space-group type: No. 123
E (eV/atom): -5.568
Excess energy over the best structure of this formula in the dataset (kJ/mol of atoms): 0.0
N(E_F) (states/eV/atom): 0.371
ΔE_f (raw) (meV/atom): -1578

a = 3.989 Å, b = 3.989 Å, c = 4.904 Å
α = 90.00°, β = 90.00°, γ = 90.00°
Fractional positions:
Sc: 0.000 0.000 0.000
I: 0.500 0.500 0.500
N: 0.000 0.000 0.500
F: 0.000 0.500 0.000
F: 0.500 0.000 0.000

***

(3)
Computed, not measured: crystalline BaAlReO6 at its relaxed geometry at the PBE level of DFT.

Computed properties:
Magnetization (μB/atom): 0.0000
Space-group type: No. 149
E (eV/atom): -7.646
N(E_F) (states/eV/atom): 0.000
ΔE_f (raw) (meV/atom): -2328

a = 5.143 Å, b = 5.143 Å, c = 5.771 Å
α = 90.00°, β = 90.00°, γ = 120.00°
Fractional positions:
Ba: 0.000 0.000 0.000
Al: 0.333 0.667 0.500
Re: 0.667 0.333 0.500
O: 0.398 0.003 0.687
O: 0.398 0.395 0.313
O: 0.605 0.003 0.313
O: 0.605 0.602 0.687
O: 0.997 0.395 0.687
O: 0.997 0.602 0.313

***

(4)
Computed, not measured: crystalline Pa3PbN at its relaxed geometry at the PBE level of DFT.

Computed properties:
Magnetization (μB/atom): 0.0002
Space-group type: No. 221
E (eV/atom): -8.697
N(E_F) (states/eV/atom): 1.721
ΔE_f (raw) (meV/atom): -593

a = 4.794 Å, b = 4.794 Å, c = 4.794 Å
α = 90.00°, β = 90.00°, γ = 90.00°
Fractional positions:
Pa: 0.000 0.000 0.500
Pa: 0.000 0.500 0.000
Pa: 0.500 0.000 0.000
Pb: 0.500 0.500 0.500
N: 0.000 0.000 0.000

***

(5)
Computed, not measured: crystalline MnSiSe2Br at its relaxed geometry at the PBE level of DFT.

Computed properties:
Magnetization (μB/atom): 0.8803
Space-group type: No. 123
E (eV/atom): -3.552
Excess energy over the best structure of this formula in the dataset (kJ/mol of atoms): 77.0
N(E_F) (states/eV/atom): 0.874
ΔE_f (raw) (meV/atom): 1095

a = 5.466 Å, b = 5.466 Å, c = 4.609 Å
α = 90.00°, β = 90.00°, γ = 90.00°
Fractional positions:
Mn: 0.000 0.000 0.000
Si: 0.500 0.500 0.000
Se: 0.000 0.500 0.500
Se: 0.500 0.000 0.500
Br: 0.000 0.000 0.500

***

(6)
Computed, not measured: crystalline InSiAg2S4 at its relaxed geometry at the PBE level of DFT.

Computed properties:
Magnetization (μB/atom): 0.0002
Space-group type: No. 82
E (eV/atom): -4.126
N(E_F) (states/eV/atom): 0.638
ΔE_f (raw) (meV/atom): -330

a = 7.075 Å, b = 7.075 Å, c = 7.075 Å
α = 131.91°, β = 131.91°, γ = 70.38°
Fractional positions:
In: 0.000 0.000 0.000
Si: 0.750 0.250 0.500
Ag: 0.250 0.750 0.500
Ag: 0.500 0.500 0.000
S: 0.084 0.563 0.933
S: 0.437 0.370 0.521
S: 0.630 0.151 0.067
S: 0.849 0.916 0.479

***

(7)
Computed, not measured: crystalline ReAgAs2 at its relaxed geometry at the PBE level of DFT.

Computed properties:
Magnetization (μB/atom): 0.2283
Formation energy from the elements (eV/atom): 0.68
Space-group type: No. 119
E (eV/atom): -5.467
Excess energy over the best structure of this formula in the dataset (kJ/mol of atoms): 51.3
N(E_F) (states/eV/atom): 0.800

a = 5.331 Å, b = 5.331 Å, c = 5.331 Å
α = 137.75°, β = 137.75°, γ = 61.29°
Fractional positions:
Re: 0.000 0.000 0.000
Ag: 0.250 0.750 0.500
As: 0.500 0.500 0.000
As: 0.750 0.250 0.500

***

(8)
Computed, not measured: crystalline AgRh at its relaxed geometry at the PBE level of DFT.

Computed properties:
Magnetization (μB/atom): 0.3307
Formation energy from the elements (eV/atom): 0.27
Space-group type: No. 194
E (eV/atom): -4.828
N(E_F) (states/eV/atom): 1.508

a = 2.783 Å, b = 2.783 Å, c = 9.499 Å
α = 90.00°, β = 90.00°, γ = 120.00°
Fractional positions:
Ag: 0.000 0.000 0.000
Ag: 0.000 0.000 0.500
Rh: 0.333 0.667 0.250
Rh: 0.667 0.333 0.750

***

> What is the formula in the fourth record?

Pa3PbN